## A
KTh2Te4 | PBE | relaxed

Output
Magnetic moment in μB/cell: 0.0

Cell and atoms, written as POSCAR:
```
KTh2Te4
1.0
-2.4245 1.9050 3.3523
6.0139 -3.6786 3.3456
8.6583 13.0864 -1.1748
K Th Te
2 4 8
Direct
0.6099 0.2198 0.7500
0.3901 0.7802 0.2500
0.1299 0.2598 0.4359
0.8701 0.7402 0.9359
0.1299 0.2598 0.0641
0.8701 0.7402 0.5641
0.7693 0.5387 0.1131
0.7693 0.5387 0.3869
0.2307 0.4613 0.8869
0.2307 0.4613 0.6131
0.9306 0.8613 0.7500
0.0694 0.1387 0.2500
0.5000 0.0000 0.0000
0.5000 0.0000 0.5000
```

## B
KTh2Te4 | PBE | relaxed

Output
Magnetic moment in μB/cell: 0.0

Cell and atoms, written as POSCAR:
```
KTh2Te4
1.0
8.0037 1.4058 -3.0700
-3.3739 7.3967 -3.0711
-0.4475 -0.8528 9.5653
K Te Th
2 8 4
Direct
0.2502 0.7500 0.5001
0.9999 0.0000 0.9998
0.8544 0.5904 0.6650
0.3959 0.1596 0.8351
0.9254 0.1893 0.3349
0.4095 0.1456 0.3349
0.8106 0.0746 0.6650
0.3244 0.5607 0.1649
0.8405 0.6042 0.1650
0.4393 0.6756 0.8352
0.6251 0.8750 0.2501
0.6249 0.3751 0.7500
0.1251 0.3748 0.7499
0.6248 0.3751 0.2501
```

Decreasing stability: A, B

## A
KTi2Te4 | PBE | relaxed

Output
Magnetic moment in μB/cell: 1.7

Cell and atoms, written as POSCAR:
```
KTi2Te4
1.0
-3.2475 1.7990 1.6545
0.5632 -6.4831 3.1624
8.3958 5.7292 10.2498
K Ti Te
2 4 8
Direct
0.6104 0.2207 0.7500
0.3896 0.7793 0.2500
0.1279 0.2557 0.4320
0.8721 0.7443 0.9320
0.1279 0.2557 0.0680
0.8721 0.7443 0.5680
0.7645 0.5290 0.1001
0.7645 0.5290 0.3999
0.2355 0.4710 0.8999
0.2355 0.4710 0.6001
0.9128 0.8256 0.7500
0.0872 0.1744 0.2500
0.5000 0.0000 0.0000
0.5000 0.0000 0.5000
```

## B
KTi2Te4 | PBE | relaxed

Output
Magnetic moment in μB/cell: 0.6

Cell and atoms, written as POSCAR:
```
KTi2Te4
1.0
-2.9123 -1.9759 1.6895
4.3648 -3.0354 3.9740
-1.5199 8.8611 3.2330
K Te Ti
1 4 2
Direct
0.5000 0.5000 0.0000
0.6527 0.9965 0.3054
0.3473 0.0035 0.6946
0.1560 0.4944 0.3120
0.8440 0.5056 0.6880
0.2501 0.2419 0.5001
0.7499 0.7581 0.4999
```

Decreasing stability: B, A

## A
KTiTe4 | PBE | relaxed

Output
Magnetic moment in μB/cell: 0.0

Cell and atoms, written as POSCAR:
```
KTiTe4
1.0
6.5123 -0.0103 1.1643
2.6002 7.0199 4.2099
0.1025 -0.0449 8.7721
K Ti Te
2 2 8
Direct
0.7500 0.3622 0.2756
0.2500 0.6378 0.7244
0.2500 0.0002 0.9997
0.7500 0.9998 0.0003
0.8611 0.3552 0.8430
0.0322 0.0809 0.7088
0.6389 0.8017 0.8430
0.4678 0.2103 0.7088
0.5322 0.7897 0.2912
0.3611 0.1983 0.1570
0.9678 0.9191 0.2912
0.1389 0.6448 0.1570
```

## B
KTiTe4 | PBE | relaxed

Output
Magnetic moment in μB/cell: 0.0

Cell and atoms, written as POSCAR:
```
KTiTe4
1.0
6.1161 0.0000 0.5581
0.0000 9.1796 0.0000
-0.9878 -4.5898 7.6041
K Ti Te
2 2 8
Direct
0.7695 0.8316 0.6632
0.2305 0.1684 0.3368
0.2711 0.5114 0.0229
0.7289 0.4886 0.9771
0.2660 0.6927 0.3854
0.4021 0.1921 0.7675
0.0000 0.2503 0.0000
0.5979 0.4247 0.2325
0.7340 0.3073 0.6146
0.5979 0.8079 0.2325
0.0000 0.7497 0.0000
0.4021 0.5753 0.7675
```

Decreasing stability: B, A

## A
KTi3Te | PBE | relaxed

Output
Magnetic moment in μB/cell: 0.0

Cell and atoms, written as POSCAR:
```
KTi3Te
1.0
-4.3927 0.3885 -2.7433
-0.0964 -5.1605 -0.5765
-2.7690 -0.4367 4.3720
K Te Ti
1 1 3
Direct
0.5000 0.5000 0.5000
0.0000 0.0000 0.0000
0.0000 0.5000 0.0000
0.0000 0.0000 0.5000
0.5000 0.0000 0.0000
```

## B
KTi3Te | PBE | relaxed

Output
Magnetic moment in μB/cell: 0.6

Cell and atoms, written as POSCAR:
```
KTi3Te
1.0
-1.3734 3.8994 2.0572
-2.5967 -2.4568 2.9232
3.5629 -0.2874 2.9235
K Te Ti
1 1 3
Direct
0.0000 0.0000 0.0000
0.5000 0.5000 0.5000
0.0000 0.5000 0.0000
0.0000 0.0000 0.5000
0.5000 0.0000 0.0000
```

Decreasing stability: A, B

## A
KTl3Te | PBE | relaxed

Output
Magnetic moment in μB/cell: 0.0

Cell and atoms, written as POSCAR:
```
KTl3Te
1.0
6.3725 0.0000 0.0000
0.0000 6.3725 0.0000
0.0000 0.0000 6.3725
Tl Te K
3 1 1
Direct
0.0000 0.5000 0.0000
0.0000 0.0000 0.5000
0.5000 0.0000 0.0000
0.0000 0.0000 0.0000
0.5000 0.5000 0.5000
```

## B
KTl3Te | PBE | relaxed

Output
Magnetic moment in μB/cell: 0.0

Cell and atoms, written as POSCAR:
```
KTl3Te
1.0
-1.4251 5.9341 0.6297
-0.3730 -0.7348 6.0797
5.9558 1.3739 0.5315
Tl Te K
3 1 1
Direct
0.0000 0.5000 0.0000
0.0000 0.0000 0.5000
0.5000 0.0000 0.0000
0.5000 0.5000 0.5000
0.0000 0.0000 0.0000
```

Decreasing stability: A, B

## A
K2Tl2Te | PBE | relaxed

Output
Magnetic moment in μB/cell: 0.0

Cell and atoms, written as POSCAR:
```
K2Tl2Te
1.0
8.6154 0.0000 0.0000
0.0000 8.6154 0.0000
0.0000 0.0000 5.5234
Tl Te K
4 2 4
Direct
0.1660 0.6660 0.5000
0.6660 0.8340 0.5000
0.8340 0.3340 0.5000
0.3340 0.1660 0.5000
0.0000 0.0000 0.0000
0.5000 0.5000 0.0000
0.3545 0.8545 0.0000
0.8545 0.6455 0.0000
0.6455 0.1455 0.0000
0.1455 0.3545 0.0000
```

## B
K2Tl2Te | PBE | relaxed

Output
Magnetic moment in μB/cell: 0.0

Cell and atoms, written as POSCAR:
```
K2Tl2Te
1.0
8.4531 0.0000 0.0000
0.0000 8.4531 0.0000
0.0000 0.0000 5.5520
Tl Te K
4 2 4
Direct
0.3716 0.8716 0.0000
0.8716 0.6284 0.0000
0.6284 0.1284 0.0000
0.1284 0.3716 0.0000
0.0000 0.0000 0.0000
0.5000 0.5000 0.0000
0.1850 0.6850 0.5000
0.6850 0.8150 0.5000
0.8150 0.3150 0.5000
0.3150 0.1850 0.5000
```

Decreasing stability: B, A

## A
KVTe4 | PBE | relaxed

Output
Magnetic moment in μB/cell: 0.7

Cell and atoms, written as POSCAR:
```
KVTe4
1.0
5.5860 -0.0082 0.9990
2.0589 8.1702 4.7260
-0.1624 0.5471 8.9987
K V Te
2 2 8
Direct
0.7500 0.3640 0.2721
0.2500 0.6360 0.7279
0.2500 0.9998 0.0004
0.7500 0.0002 0.9996
0.8767 0.3028 0.8772
0.0524 0.0473 0.7061
0.6233 0.8200 0.8772
0.4476 0.2465 0.7061
0.5524 0.7535 0.2939
0.3767 0.1800 0.1228
0.9476 0.9527 0.2939
0.1233 0.6972 0.1228
```

## B
KVTe4 | PBE | relaxed

Output
Magnetic moment in μB/cell: 1.6

Cell and atoms, written as POSCAR:
```
KVTe4
1.0
5.9545 0.0000 0.3928
0.0000 8.6167 0.0000
-1.1863 -4.3083 7.8852
K V Te
2 2 8
Direct
0.7892 0.8216 0.6431
0.2108 0.1784 0.3569
0.2861 0.5160 0.0319
0.7139 0.4840 0.9681
0.2595 0.6867 0.3733
0.3885 0.1901 0.7783
0.0000 0.2490 0.0000
0.6115 0.4118 0.2217
0.7405 0.3133 0.6267
0.6115 0.8099 0.2217
0.0000 0.7510 0.0000
0.3885 0.5882 0.7783
```

Decreasing stability: B, A

## A
KTeW | PBE | relaxed

Output
Magnetic moment in μB/cell: 3.1

Cell and atoms, written as POSCAR:
```
KTeW
1.0
-1.6195 -0.9899 -4.2612
-0.8239 -2.9186 3.5445
-4.5983 2.6678 1.1279
K Te W
1 1 1
Direct
0.0000 0.0000 0.0001
0.6667 0.3333 0.5001
0.3333 0.6667 0.4998
```

## B
KTeW | PBE | relaxed

Output
Magnetic moment in μB/cell: 0.9

Cell and atoms, written as POSCAR:
```
KTeW
1.0
3.4226 0.0000 0.0000
-1.7113 2.9640 0.0000
0.0000 0.0000 7.8312
K Te W
1 1 1
Direct
0.0000 0.0000 0.9939
0.3333 0.6667 0.3865
0.6667 0.3333 0.6197
```

## C
KTeW | PBE | relaxed

Output
Magnetic moment in μB/cell: 0.0

Cell and atoms, written as POSCAR:
```
KTeW
1.0
7.2866 0.0142 -0.0151
6.4775 3.3377 -0.0118
0.8092 0.1945 3.3178
K Te W
1 1 1
Direct
0.9997 0.9997 0.0003
0.2973 0.2973 0.7027
0.7030 0.7030 0.2970
```

Decreasing stability: C, B, A